# LiInPtO4, optimized geometry, DFT PBE-GGA
# E_form (uncorrected)	-1.254	eV per atom
# calculated total energy	-78.613	eV for the cell shown
data_LiInPtO4
_chemical_formula_sum 'Li2 In2 Pt2 O8'
_space_group_name_H-M_alt 'P 1'
_space_group_IT_number 1
_cell_length_a 6.2585
_cell_length_b 6.3509
_cell_length_c 6.4347
_cell_angle_alpha 120.44
_cell_angle_beta 90.00
_cell_angle_gamma 119.52
loop_
_space_group_symop_operation_xyz
'x,y,z'
loop_
_atom_site_label
_atom_site_fract_x
_atom_site_fract_y
_atom_site_fract_z
In1 0.5000 0.0000 0.0000
O1 0.2525 0.5050 0.7123
Li1 0.9023 0.8046 0.1523
O2 0.7566 0.0421 0.2710
Pt1 0.5000 0.5000 0.5000
O3 0.7145 0.9579 0.7290
O4 0.2525 0.5050 0.2927
O5 0.7475 0.4950 0.2877
O6 0.2434 0.9579 0.7290
In2 0.5000 0.0000 0.5000
Pt2 0.0000 0.5000 0.5000
O7 0.2855 0.0421 0.2710
Li2 0.0977 0.1954 0.8477
O8 0.7475 0.4950 0.7073

***

# Li4Ge2Te, optimized geometry, DFT PBE-GGA
# E_form (uncorrected)	-0.179	eV per atom
# calculated total energy	-21.283	eV for the cell shown
data_Li4Ge2Te
_chemical_formula_sum 'Li4 Ge2 Te1'
_space_group_name_H-M_alt 'P 1'
_space_group_IT_number 1
_cell_length_a 5.6421
_cell_length_b 5.6421
_cell_length_c 7.4323
_cell_angle_alpha 67.69
_cell_angle_beta 67.69
_cell_angle_gamma 90.00
loop_
_space_group_symop_operation_xyz
'x,y,z'
loop_
_atom_site_label
_atom_site_fract_x
_atom_site_fract_y
_atom_site_fract_z
Ge1 0.5901 0.5901 0.8199
Te1 0.0000 0.0000 0.0000
Ge2 0.4099 0.4099 0.1801
Li1 0.5000 0.0000 0.0000
Li2 0.2079 0.2079 0.5841
Li3 0.7921 0.7921 0.4159
Li4 0.0000 0.5000 0.0000

***

# SmMnGe2Ru, optimized geometry, DFT PBE-GGA
# formation energy from the elements	-0.59	eV/atom
# calculated total energy	-35.360	eV for the cell shown
data_SmMnGe2Ru
_chemical_formula_sum 'Sm1 Mn1 Ge2 Ru1'
_space_group_name_H-M_alt 'P 1'
_space_group_IT_number 1
_cell_length_a 4.0795
_cell_length_b 4.0795
_cell_length_c 6.1096
_cell_angle_alpha 109.50
_cell_angle_beta 109.50
_cell_angle_gamma 90.00
loop_
_space_group_symop_operation_xyz
'x,y,z'
loop_
_atom_site_label
_atom_site_fract_x
_atom_site_fract_y
_atom_site_fract_z
Mn1 0.2500 0.7500 0.5000
Ru1 0.7500 0.2500 0.5000
Ge1 0.3791 0.3791 0.7581
Ge2 0.6209 0.6209 0.2419
Sm1 0.0000 0.0000 0.0000

***

# Nd2SeI, optimized geometry, DFT PBE-GGA
# E_form (uncorrected)	-1.344	eV per atom
# calculated total energy	-19.945	eV for the cell shown
data_Nd2SeI
_chemical_formula_sum 'Nd2 Se1 I1'
_space_group_name_H-M_alt 'P 1'
_space_group_IT_number 1
_cell_length_a 4.1100
_cell_length_b 4.1100
_cell_length_c 8.5083
_cell_angle_alpha 76.02
_cell_angle_beta 76.02
_cell_angle_gamma 60.00
loop_
_space_group_symop_operation_xyz
'x,y,z'
loop_
_atom_site_label
_atom_site_fract_x
_atom_site_fract_y
_atom_site_fract_z
Se1 0.6664 0.6664 0.0009
I1 0.4997 0.4997 0.5010
Nd1 0.0697 0.0697 0.7910
Nd2 0.2643 0.2643 0.2071